Record 1
PBE-GGA In2HSe2, relaxed; total energy = -33.94 eV per cell; calculated density = 4.994 g cm⁻³; volume = 258.40 Å³/cell; M_tot = 0.00 Bohr magnetons per cell
1.0
9.2925 -2.0533 0.0000
9.2925 2.0533 0.0000
-2.4214 0.0000 6.7714
In H Se
4 2 4
Cartesian
0.4610 0.0000 1.5759 In
7.2232 0.0000 2.0892 In
8.9404 0.0000 4.6822 In
15.7026 0.0000 5.1954 In
3.2672 0.0000 5.3166 H
12.8964 0.0000 1.4547 H
1.3744 0.0000 4.1956 Se
4.6387 0.0000 6.0380 Se
11.5249 0.0000 0.7334 Se
14.7892 0.0000 2.5757 Se

Record 2
PBE-GGA La8P3SCl4, relaxed; total energy = -95.40 eV per cell; energy relative to the elements, uncorrected = -170.29 kJ/mol of atoms; calculated density = 5.366 g cm⁻³; volume = 426.42 Å³/cell; M_tot = 0.00 Bohr magnetons per cell
1.0
4.2182 2.4354 6.9182
-4.2182 2.4354 6.9182
0.0000 -4.8707 6.9182
La P S Cl
8 3 1 4
Cartesian
0.0000 0.0000 5.0102 La
-2.1113 -1.2190 11.9215 La
0.0000 -2.4380 8.8331 La
-2.1113 1.2190 8.8331 La
2.1113 -1.2190 11.9215 La
0.0000 2.4380 11.9215 La
2.1113 1.2190 8.8331 La
0.0000 0.0000 15.7444 La
-4.2182 0.0000 10.3773 P
-2.1091 1.2177 3.4591 P
2.1091 1.2177 3.4591 P
0.0000 0.0000 10.3773 S
0.0000 0.0000 0.0000 Cl
-2.1091 -1.2177 6.9182 Cl
-2.1091 1.2177 13.8364 Cl
0.0000 2.4354 6.9182 Cl